! PBE PmAl2OsO8, optimized geometry; values from VASP
&SYSTEM
  ibrav = 0, nat = 12, ntyp = 4
/
ATOMIC_SPECIES
Pm 145.00 Pm.upf
Al 26.98 Al.upf
Os 190.23 Os.upf
O 16.00 O.upf
CELL_PARAMETERS angstrom
-2.133 -4.154 -0.841
3.199 -1.941 -2.917
3.285 -3.592 4.608
ATOMIC_POSITIONS angstrom
Pm 1.642 -1.796 2.304
Al 2.820 -5.341 1.551
Al 1.531 -4.346 -0.701
Os 0.000 0.000 0.000
O 2.727 -3.223 -1.527
O 1.007 -4.784 -2.510
O -0.271 -4.466 -0.359
O 1.624 -6.464 2.377
O 3.343 -4.903 3.360
O 4.621 -5.221 1.210
O 2.365 -5.892 -0.204
O 1.986 -3.796 1.055
! formation energy without anion corrections: -2.192 eV per atom
! space group: C2/m

=====

! PBE KRb4Hg3, optimized geometry; values from VASP
&SYSTEM
  ibrav = 0, nat = 8, ntyp = 3
/
ATOMIC_SPECIES
K 39.10 K.upf
Hg 200.59 Hg.upf
Rb 85.47 Rb.upf
CELL_PARAMETERS angstrom
5.235 0.000 0.000
0.000 5.281 0.000
0.000 0.000 15.769
ATOMIC_POSITIONS angstrom
K 2.618 2.641 0.636
Hg 0.000 2.641 8.890
Hg 0.000 0.000 7.249
Hg 2.618 0.000 13.925
Rb 2.618 2.641 6.211
Rb 0.000 2.641 12.832
Rb 0.000 0.000 3.321
Rb 2.618 0.000 10.012
! energy of formation: -153 meV/atom
! space group: Pmm2

=====

! PBE MgNpNbO6, optimized geometry; values from VASP
&SYSTEM
  ibrav = 0, nat = 18, ntyp = 4
/
ATOMIC_SPECIES
Mg 24.30 Mg.upf
Np 237.00 Np.upf
Nb 92.91 Nb.upf
O 16.00 O.upf
CELL_PARAMETERS angstrom
5.477 0.000 0.000
-2.738 4.743 0.000
0.000 0.000 9.000
ATOMIC_POSITIONS angstrom
Mg 0.000 0.000 0.000
Mg 0.000 0.000 4.500
Np 2.738 1.581 2.250
Np 0.000 3.162 6.750
Nb 0.000 3.162 2.250
Nb 2.738 1.581 6.750
O 1.734 3.141 1.192
O -0.885 1.671 1.192
O 1.890 0.069 5.692
O 3.624 3.072 7.808
O 0.885 1.671 3.308
O -1.734 3.141 3.308
O 3.587 0.069 7.808
O 0.848 4.674 3.308
O 4.472 1.602 5.692
O -0.848 4.674 1.192
O 1.853 3.072 5.692
O 1.004 1.602 7.808
! formation energy without anion corrections: -2.631 eV per atom
! space group: P-31c

=====

Number 1: D(E_F) 0.1174 states/eV per atom, DFT total energy -89.4 eV/cell. Number 2: D(E_F) 0.7422 states/eV per atom, DFT total energy -7.1 eV/cell. Number 3: D(E_F) 0.6263 states/eV per atom, DFT total energy -156.1 eV/cell.